DFT (PBE) results for a relaxed CaNb3V crystal.

```
data_CaNb3V
_chemical_formula_sum 'Ca1 Nb3 V1'
_space_group_name_H-M_alt 'P m -3 m'
_space_group_IT_number 221
_space_group_name_Hall '-P 4 2 3'
_cell_length_a 4.7993
_cell_length_b 4.7993
_cell_length_c 4.7993
_cell_angle_alpha 90.00
_cell_angle_beta 90.00
_cell_angle_gamma 90.00
loop_
_atom_site_label
_atom_site_type_symbol
_atom_site_fract_x
_atom_site_fract_y
_atom_site_fract_z
_atom_site_occupancy
Ca1 Ca 0.0000 0.0000 0.0000 1
Nb1 Nb 0.0000 0.5000 0.5000 1
V1 V 0.5000 0.5000 0.5000 1
```

Computed properties:
formation enthalpy at 0 K	4.09	eV per formula unit
E above lowest polymorph	0	meV/atom
DOS at the Fermi energy	1.34	states/eV per atom